24
Lattice="5.111 0.000 0.000 1.700 5.602 0.000 1.692 1.029 7.338" Properties=species:S:1:pos:R:3 comment="Li7Mn2Co3O12 | Alexandria via LeMat-Bulk | PBE+U | relaxed" volume_a3_per_atom=8.75 e_above_lowest_polymorph_mev_per_atom=16 dft_energy_ev_per_atom=-5.881 pbc="T T T"
Li 0.000 0.000 0.000
Li 2.563 3.874 7.321
Li 2.574 5.394 4.826
Li 1.723 2.534 4.832
Li 3.417 0.542 3.663
Li 5.929 1.270 2.507
Li 6.802 4.095 2.492
Mn 4.258 1.808 6.073
Mn 3.427 2.042 1.251
Co 4.257 4.878 1.340
Co 4.249 3.303 3.662
Co 5.136 4.648 6.010
O 2.687 0.848 5.588
O 3.462 4.995 3.016
O 3.490 3.488 5.441
O 2.694 2.348 2.968
O 1.867 1.074 0.583
O 2.680 3.730 0.556
O 5.826 2.822 6.775
O 5.815 4.277 4.318
O 5.032 1.653 4.358
O 4.991 3.037 1.867
O 6.721 5.728 6.712
O 4.197 0.357 1.768